Density functional theory data (PBE with a Hubbard U) for a geometry-optimized K2LaWO6 structure.

Cell lengths 6.1521, 6.1520, 6.1518 Å; angles 60.01, 60.01, 60.01 degrees
Last column: magnetic moment on the atom in μB.
Sites, in units of the cell vectors:
La 0.8162 0.8162 0.5515  -0.02
O 0.0921 0.0912 0.2763  0.16
W 0.3162 0.3162 0.0515  -0.09
O 0.5407 0.0923 0.2760  0.16
O 0.5405 0.0914 0.8273  0.16
K 0.5662 0.5663 0.3010  0.00
K 0.0664 0.0663 0.8015  0.00
O 0.5405 0.5407 0.8268  0.16
O 0.0915 0.5404 0.8273  0.16
O 0.0913 0.5407 0.2760  0.16

Properties
- Space-group type: Fm-3m, No. 225
- DOS(E_F): 6.03 states/eV/f.u.
- Uncorrected energy: -6.650 eV/atom